Ac2ZnCoO6 after structural relaxation, computed with GGA+U.

Calculated values
Volume (Å³ per atom): 12.3
Total energy (eV/atom): -6.672
Symmetry: I4/mmm (139)

Cell: 5.5814 5.5814 5.5814 Å, 119.83 119.83 90.29°
Last column: nearest neighbours and their distance in Å.
Fractional positions:
Ac 0.2500 0.7500 0.5000  12 O 2.79-2.80
Ac 0.7500 0.2500 0.5000  12 O 2.79-2.80
Zn 0.0000 0.0000 0.0000  6 O 2.05
Co 0.5000 0.5000 0.0000  6 O 1.88-1.91
O 0.2587 0.2587 0.5175  1 Co 1.91, 1 Zn 2.05
O 0.2587 0.7413 0.0000  1 Co 1.91, 1 Zn 2.05
O 0.2607 0.2607 0.0000  1 Co 1.88, 1 Zn 2.05
O 0.7393 0.7393 0.0000  1 Co 1.88, 1 Zn 2.05
O 0.7413 0.2587 0.0000  1 Co 1.91, 1 Zn 2.05
O 0.7413 0.7413 0.4825  1 Co 1.91, 1 Zn 2.05